Entry 1:
DFT (PBE) results for a relaxed BaSc2Cr crystal.

Properties
The calculation puts the total DFT energy (no corrections) at -21.6 eV per formula unit. For the density of states at the Fermi level, the calculation gives 6.0 states/eV per cell. The magnetic moment is 3.68 μB per cell. As for the density: 4.21 g/cm3.

Lattice parameters (Å, degrees): 3.7775 5.3747 5.4299 90.00 90.00 90.00
Space group Pmmm (No. 47)
Asymmetric unit:
Ba 0.0000 0.0000 0.0000 [1 per cell]
Sc 0.0000 0.5000 0.5000 [1 per cell]
Sc 0.5000 0.0000 0.5000 [1 per cell]
Cr 0.5000 0.5000 0.0000 [1 per cell]



Entry 2:
DFT (PBE) results for a relaxed BaSc3Cr crystal.

Properties
The calculation puts the total DFT energy (no corrections) at -28.8 eV per formula unit. For the density of states at the Fermi level, the calculation gives 6.3 states/eV per cell. The magnetic moment is 1.29 μB per cell. As for the density: 3.83 g/cm3.

Lattice parameters (Å, degrees): 5.1981 5.1981 5.1981 90.00 90.00 90.00
Space group Pm-3m (No. 221)
Asymmetric unit:
Ba 0.0000 0.0000 0.0000 [1 per cell]
Sc 0.0000 0.5000 0.5000 [3 per cell]
Cr 0.5000 0.5000 0.5000 [1 per cell]



Entry 3:
DFT (PBE) results for a relaxed BaSc2Cr crystal.

Properties
The calculation puts the total DFT energy (no corrections) at -21.9 eV per formula unit. For the density of states at the Fermi level, the calculation gives 16.0 states/eV per cell. The magnetic moment is 6.76 μB per cell. As for the density: 4.40 g/cm3.

Lattice parameters (Å, degrees): 3.3264 3.3264 32.9634 90.00 90.00 120.00
Space group R-3m (No. 166, hexagonal axes)
Asymmetric unit:
Ba 0.0000 0.0000 0.0000 [3 per cell]
Sc 0.0000 0.0000 0.1047 [6 per cell]
Cr 0.0000 0.0000 0.5000 [3 per cell]



Question: density of number 2 (BaSc3Cr)?
Answer: 3.83 g/cm3



Question: Which value of total DFT energy (no corrections) does entry 2 give?
Answer: -28.8 eV per formula unit



Question: Which value of density does entry 2 give?
Answer: 3.83 g/cm3



Question: density of number 2 (BaSc3Cr)?
Answer: 3.83 g/cm3